{
  "formula": "HfCoAgGe",
  "functional": "GGA-PBE",
  "state": "relaxed",
  "lattice_angstrom": [[0.000, 3.176, 3.176], [3.176, 0.000, 3.176], [3.176, 3.176, 0.000]],
  "species": ["Ag", "Co", "Ge", "Hf"],
  "fractional_positions": [[0.500, 0.500, 0.500], [0.750, 0.750, 0.750], [0.000, 0.000, 0.000], [0.250, 0.250, 0.250]],
  "total_energy_ha_per_atom": -0.2251,
  "polymorph_energy_mev_per_atom": 49,
  "crystal_system": "cubic"
}